Material: K2RbCoF6
Method: DFT, PBE with a Hubbard U
State: optimized geometry

Summary:
Excess energy over the best structure of this formula in the dataset: 0 meV/atom
Space-group type: P2_1/c, No. 14

a b c (Å): 6.1603 6.4086 8.7731
angles (deg): 90.00 90.30 90.00
Last column: magnetic moment on the atom in μB.
Fractional positions:
F (0.8505, 0.7405, 0.9324)  0.00
F (0.1012, 0.4499, 0.8015)  0.00
F (0.8988, 0.5501, 0.1985)  0.00
F (0.6012, 0.0501, 0.3015)  0.00
F (0.2468, 0.6627, 0.0422)  0.00
F (0.7532, 0.3373, 0.9578)  0.00
F (0.3988, 0.9499, 0.6985)  0.00
F (0.6495, 0.2405, 0.5676)  0.00
F (0.1495, 0.2595, 0.0676)  0.00
F (0.3505, 0.7595, 0.4324)  0.00
F (0.2532, 0.1627, 0.4578)  0.00
F (0.7468, 0.8373, 0.5422)  0.00
K (0.9847, 0.0498, 0.7475)  0.00
K (0.4847, 0.4502, 0.2475)  0.00
K (0.5153, 0.5498, 0.7525)  0.00
K (0.0153, 0.9502, 0.2525)  0.00
Co (0.0000, 0.5000, 0.0000)  -0.08
Co (0.5000, 0.0000, 0.5000)  -0.08
Rb (0.5000, 0.0000, 0.0000)  0.00
Rb (0.0000, 0.5000, 0.5000)  0.00